No. 1
Below is an optimized crystal structure of Ac7Pm12Ho, with properties calculated at the GGA-PBE level.

a b c (Å): 10.490 10.490 10.490
angles (deg): 109.47 109.47 109.47
Atoms (fractional coordinates):
Ac1 0.000 0.000 0.500
Pm1 0.323 0.756 0.079
Ac2 0.500 0.000 0.500
Ac3 0.500 0.500 0.500
Pm2 0.921 0.677 0.244
Pm3 0.756 0.433 0.677
Ac4 0.000 0.500 0.500
Pm4 0.567 0.323 0.244
Pm5 0.323 0.244 0.567
Pm6 0.677 0.756 0.433
Pm7 0.756 0.079 0.323
Pm8 0.244 0.921 0.677
Pm9 0.079 0.323 0.756
Pm10 0.433 0.677 0.756
Pm11 0.244 0.567 0.323
Ac5 0.500 0.000 0.000
Ac6 0.500 0.500 0.000
Ho1 0.000 0.000 0.000
Ac7 0.000 0.500 0.000
Pm12 0.677 0.244 0.921

Properties
- Formation energy: 0.826 eV per atom

No. 2
Below is an optimized crystal structure of Ac6Pm5Ho, with properties calculated at the GGA-PBE level.

a b c (Å): 5.480 10.428 10.080
angles (deg): 121.15 105.77 90.00
Atoms (fractional coordinates):
Ac1 0.834 0.083 0.668
Ac2 0.500 0.752 0.000
Ho1 0.000 0.000 0.000
Ac3 0.834 0.585 0.668
Pm1 0.333 0.833 0.667
Ac4 0.500 0.248 0.000
Pm2 0.334 0.334 0.668
Pm3 0.667 0.167 0.333
Ac5 0.166 0.415 0.332
Ac6 0.166 0.917 0.332
Pm4 0.000 0.500 0.000
Pm5 0.666 0.666 0.332

Properties
- Formation energy: 0.034 eV per atom

No. 3
Below is an optimized crystal structure of Ac2Pm5Ho12, with properties calculated at the GGA-PBE level.

a b c (Å): 7.140 9.336 10.971
angles (deg): 100.50 90.00 112.48
Atoms (fractional coordinates):
Ho1 0.123 0.744 0.278
Ho2 0.453 0.906 0.634
Pm1 0.232 0.465 0.000
Ho3 0.913 0.365 0.226
Ho4 0.877 0.256 0.722
Ho5 0.547 0.094 0.366
Ho6 0.379 0.256 0.722
Ac1 0.262 0.000 0.000
Ac2 0.738 0.000 0.000
Ho7 0.087 0.635 0.774
Pm2 0.756 0.512 0.511
Ho8 0.452 0.365 0.226
Pm3 0.000 0.000 0.500
Ho9 0.043 0.085 0.261
Pm4 0.244 0.488 0.489
Ho10 0.957 0.915 0.739
Ho11 0.548 0.635 0.774
Ho12 0.621 0.744 0.278
Pm5 0.768 0.535 0.000

Properties
- Formation energy: 0.273 eV per atom
- Distance to the lowest polymorph of the same formula: 79 meV per atom

No. 4
Below is an optimized crystal structure of Ac12Pm5Ho, with properties calculated at the GGA-PBE level.

a b c (Å): 6.753 6.753 18.947
angles (deg): 86.61 86.61 120.00
Atoms (fractional coordinates):
Ac1 0.220 0.553 0.337
Ac2 0.278 0.278 0.161
Ac3 0.887 0.887 0.337
Ac4 0.386 0.054 0.839
Ac5 0.447 0.780 0.663
Ac6 0.054 0.386 0.839
Pm1 0.333 0.667 0.000
Ac7 0.780 0.447 0.663
Ho1 0.000 0.000 0.000
Ac8 0.614 0.946 0.161
Pm2 0.833 0.167 0.500
Ac9 0.553 0.220 0.337
Pm3 0.167 0.833 0.500
Pm4 0.667 0.333 0.000
Pm5 0.500 0.500 0.500
Ac10 0.722 0.722 0.839
Ac11 0.946 0.614 0.161
Ac12 0.113 0.113 0.663

Properties
- Formation energy: 0.035 eV per atom

No. 5
Below is an optimized crystal structure of Ac8Pm2Ho, with properties calculated at the GGA-PBE level.

a b c (Å): 5.549 8.693 10.235
angles (deg): 104.83 105.73 90.00
Atoms (fractional coordinates):
Pm1 0.774 0.367 0.548
Ac1 0.953 0.270 0.906
Ac2 0.407 0.549 0.814
Ac3 0.319 0.086 0.638
Ac4 0.681 0.914 0.362
Ac5 0.138 0.188 0.275
Ac6 0.047 0.730 0.094
Ho1 0.500 0.000 0.000
Ac7 0.862 0.812 0.725
Ac8 0.593 0.451 0.186
Pm2 0.226 0.633 0.452

Properties
- Formation energy: 0.041 eV per atom

No. 6
Below is an optimized crystal structure of Ac2Pm7Ho2, with properties calculated at the GGA-PBE level.

a b c (Å): 7.121 9.604 7.121
angles (deg): 90.00 121.89 90.00
Each line ends with the local moment (μB).
Atoms (fractional coordinates):
Pm1 0.000 0.000 0.000  0.07
Pm2 0.000 0.690 0.500  0.01
Ac1 0.752 0.500 0.752  0.00
Pm3 0.500 0.310 0.000  0.01
Pm4 0.500 0.690 0.000  0.01
Ho1 0.734 0.000 0.266  0.04
Pm5 0.500 0.826 0.500  0.01
Pm6 0.000 0.310 0.500  0.01
Ac2 0.248 0.500 0.248  0.00
Ho2 0.266 0.000 0.734  0.04
Pm7 0.500 0.174 0.500  0.01

Properties
- Formation energy: 0.350 eV per atom
- Distance to the lowest polymorph of the same formula: 190 meV per atom

No. 7
Below is an optimized crystal structure of AcPm12Ho6, with properties calculated at the GGA-PBE level.

a b c (Å): 8.865 8.865 8.865
angles (deg): 99.26 99.26 99.26
Atoms (fractional coordinates):
Pm1 0.241 0.759 0.500
Pm2 0.646 0.920 0.646
Pm3 0.759 0.500 0.241
Ho1 0.103 0.103 0.657
Pm4 0.354 0.080 0.354
Pm5 0.646 0.646 0.920
Pm6 0.500 0.241 0.759
Ho2 0.103 0.657 0.103
Pm7 0.354 0.354 0.080
Ho3 0.343 0.897 0.897
Ho4 0.897 0.343 0.897
Pm8 0.500 0.759 0.241
Ac1 0.000 0.000 0.000
Ho5 0.657 0.103 0.103
Pm9 0.759 0.241 0.500
Ho6 0.897 0.897 0.343
Pm10 0.080 0.354 0.354
Pm11 0.241 0.500 0.759
Pm12 0.920 0.646 0.646

Properties
- Formation energy: 0.194 eV per atom

No. 8
Below is an optimized crystal structure of AcPm2Ho4, with properties calculated at the GGA-PBE level.

a b c (Å): 9.583 9.595 8.114
angles (deg): 139.45 94.92 94.04
Atoms (fractional coordinates):
Ho1 0.416 0.667 0.724
Pm1 0.625 0.016 0.356
Ho2 0.486 0.448 0.925
Ho3 0.691 0.802 0.569
Ho4 0.904 0.155 0.217
Ac1 0.203 0.307 0.071
Ho5 0.271 0.096 0.298
Pm2 0.558 0.233 0.145
Pm3 0.835 0.370 0.991
Ho6 0.762 0.588 0.787
Ac2 0.048 0.730 0.646
Pm4 0.125 0.518 0.858
Ho7 0.980 0.940 0.416
Ho8 0.346 0.880 0.498

Properties
- Formation energy: 0.041 eV per atom
- Distance to the lowest polymorph of the same formula: 0 meV per atom

No. 9
Below is an optimized crystal structure of Ac5Pm2Ho2, with properties calculated at the GGA-PBE level.

a b c (Å): 6.573 11.432 9.327
angles (deg): 35.38 62.33 61.54
Atoms (fractional coordinates):
Pm1 0.661 0.550 0.565
Ac1 0.663 0.891 0.882
Ac2 0.000 0.000 0.000
Ho1 0.658 0.230 0.219
Ho2 0.342 0.770 0.781
Ac3 0.992 0.665 0.667
Ac4 0.008 0.335 0.333
Pm2 0.339 0.450 0.435
Ac5 0.337 0.109 0.118

Properties
- Formation energy: 0.056 eV per atom

No. 10
Below is an optimized crystal structure of Ac2Pm3Ho4, with properties calculated at the GGA-PBE level.

a b c (Å): 5.700 7.282 15.825
angles (deg): 90.00 90.00 90.00
Atoms (fractional coordinates):
Ac1 0.000 0.834 0.404
Pm1 0.000 0.000 0.000
Ho1 0.000 0.909 0.793
Pm2 0.000 0.394 0.832
Ac2 0.000 0.166 0.596
Ho2 0.500 0.865 0.123
Ac3 0.500 0.666 0.904
Ho3 0.500 0.591 0.293
Ho4 0.000 0.091 0.207
Ho5 0.000 0.365 0.377
Ho6 0.000 0.635 0.623
Pm3 0.500 0.500 0.500
Ac4 0.500 0.334 0.096
Pm4 0.500 0.106 0.332
Ho7 0.500 0.409 0.707
Ho8 0.500 0.135 0.877
Pm5 0.500 0.894 0.668
Pm6 0.000 0.606 0.168

Properties
- Formation energy: 0.131 eV per atom
- Distance to the lowest polymorph of the same formula: 42 meV per atom

No. 11
Below is an optimized crystal structure of AcPm2Pr4Ho, with properties calculated at the GGA-PBE level.

a b c (Å): 5.259 5.229 11.727
angles (deg): 63.51 90.00 90.00
Atoms (fractional coordinates):
Pr1 0.000 0.758 0.742
Pr2 0.000 0.242 0.258
Pr3 0.500 0.742 0.258
Ho1 0.000 0.500 0.500
Ac1 0.500 0.500 0.000
Pm1 0.000 0.000 0.000
Pm2 0.500 0.000 0.500
Pr4 0.500 0.258 0.742

Properties
- Formation energy: 0.021 eV per atom

No. 12
Below is an optimized crystal structure of AcPm6Pr3Ho2, with properties calculated at the GGA-PBE level.

a b c (Å): 6.356 6.356 12.214
angles (deg): 94.98 94.98 119.97
Atoms (fractional coordinates):
Pr1 0.167 0.833 0.500
Ho1 0.333 0.667 0.000
Ac1 0.000 0.000 0.000
Pr2 0.500 0.500 0.500
Pm1 0.916 0.580 0.750
Pm2 0.420 0.084 0.250
Ho2 0.667 0.333 0.000
Pm3 0.084 0.420 0.250
Pm4 0.253 0.253 0.750
Pr3 0.833 0.167 0.500
Pm5 0.747 0.747 0.250
Pm6 0.580 0.916 0.750

Properties
- Formation energy: 0.025 eV per atom